## Y2Pd2Pt15 (PBE)

Data for crystalline Y2Pd2Pt15 at its relaxed geometry.

Cell lengths 9.2676, 9.2676, 13.3776 Å; angles 90.00, 90.00, 120.00 degrees
Space group R-3m (No. 166, hexagonal axes)
Asymmetric unit:
Y1 0.0000 0.0000 0.1637
Pd1 0.0000 0.0000 0.3946
Pt1 0.0000 0.3142 0.5000
Pt2 0.0000 0.5000 0.0000
Pt3 0.0058 0.5029 0.6582

Calculated values
Formation energy from the elements, meV per atom: -424
Volume, Å³ per cell: 995.0
Mass density, g/cm³: 16.606
Fermi-level density of states, states/eV per cell: 49.9

***

## Y2Pd7Pt (PBE)

Data for crystalline Y2Pd7Pt at its relaxed geometry.

Cell lengths 4.297, 5.686, 14.488 Å; angles 90.00, 90.00, 90.00 degrees
Space group Immm (No. 71)
Asymmetric unit:
Y1 0.000 0.000 0.195
Pd1 0.000 0.000 0.000
Pd2 0.000 0.248 0.401
Pd3 0.000 0.500 0.181
Pt1 0.000 0.500 0.000

Calculated values
Formation energy from the elements, meV per atom: -544
Volume, Å³ per cell: 354.0
Mass density, g/cm³: 10.487
Fermi-level density of states, states/eV per cell: 9.1

***

## Y3Pd2Pt (PBE)

Data for crystalline Y3Pd2Pt at its relaxed geometry.

Cell lengths 4.992, 14.948, 6.974 Å; angles 90.00, 90.00, 90.00 degrees
Space group Cmmm (No. 65)
Asymmetric unit:
Y1 0.000 0.000 0.249
Y2 0.000 0.332 0.246
Pd1 0.000 0.169 0.500
Pd2 0.000 0.500 0.000
Pd3 0.000 0.500 0.500
Pt1 0.000 0.162 0.000

Calculated values
Formation energy from the elements, meV per atom: -993
Volume, Å³ per cell: 520.3
Mass density, g/cm³: 8.612
Fermi-level density of states, states/eV per cell: 15.7

***

| no. | uncorrected energy (eV/atom) |
| --- | --- |
| 1 | -6.42 |
| 2 | -6.08 |
| 3 | -6.96 |